MgMnSiO5: optimized geometry, PBE+U.

Values from the calculation:
**Symmetry**: P-1
**Calculated total energy**: -56.83 eV per formula unit
**Size of the total moment**: 3.000 μB per formula unit

POSCAR file:
```
MgMnSiO5
1.0
5.142 0.000 0.000
-1.668 5.109 0.000
-1.399 -2.410 6.315
Mg Mn Si O
2 2 2 10
Direct
0.152 0.291 0.220
0.848 0.709 0.780
0.500 0.000 0.000
0.500 0.000 0.500
0.189 0.319 0.741
0.811 0.681 0.259
0.102 0.792 0.460
0.195 0.132 0.900
0.201 0.626 0.882
0.393 0.066 0.248
0.472 0.350 0.657
0.528 0.650 0.343
0.607 0.934 0.752
0.799 0.374 0.118
0.805 0.868 0.100
0.898 0.208 0.540
```